Entry 1:
Compound: Ca2FeP
Source: the Alexandria database
Functional: PBE
Structure: relaxed

Crystal system: cubic
Density of states at the Fermi level in states/eV/f.u.: 6.05
Calculated formation energy in meV/atom: 175
Electronic total energy in eV per formula unit: -17.18

Lattice parameters (Å, degrees): 4.677 4.677 4.677 60.00 60.00 60.00
Site moments in Bohr magnetons follow the coordinates.
Sites, in units of the cell vectors:
P1 0.750 0.750 0.750  0.01
Fe1 0.500 0.500 0.500  1.56
Ca1 0.250 0.250 0.250  -0.11
Ca2 0.000 0.000 0.000  -0.12



Entry 2:
Compound: CaFe3P
Source: the Alexandria database
Functional: PBE
Structure: relaxed

Crystal system: cubic
Density of states at the Fermi level in states/eV/f.u.: 6.80
Calculated formation energy in meV/atom: 2092
Electronic total energy in eV per formula unit: -22.34

Lattice parameters (Å, degrees): 4.524 4.524 4.524 90.00 90.00 90.00
Site moments in Bohr magnetons follow the coordinates.
Sites, in units of the cell vectors:
Ca1 0.000 0.000 0.000  -0.26
P1 0.500 0.500 0.500  0.07
Fe1 0.000 0.500 0.000  2.58
Fe2 0.000 0.000 0.500  2.42
Fe3 0.500 0.000 0.000  2.73



Entry 3:
Compound: Ca2FeP
Source: the Alexandria database
Functional: PBE
Structure: relaxed

Crystal system: orthorhombic
Density of states at the Fermi level in states/eV/f.u.: 4.48
Calculated formation energy in meV/atom: -110
Electronic total energy in eV per formula unit: -18.32

Lattice parameters (Å, degrees): 3.472 3.717 6.912 90.00 90.00 90.00
Site moments in Bohr magnetons follow the coordinates.
Sites, in units of the cell vectors:
Fe1 0.500 0.500 0.250  2.93
P1 0.500 0.500 0.750  0.05
Ca1 0.000 0.000 0.525  -0.04
Ca2 0.000 0.000 0.975  -0.04



Entry 4:
Compound: Ca2FeP
Source: the Alexandria database
Functional: PBE
Structure: relaxed

Crystal system: orthorhombic
Density of states at the Fermi level in states/eV/f.u.: 4.23
Calculated formation energy in meV/atom: -280
Electronic total energy in eV per formula unit: -18.99

Lattice parameters (Å, degrees): 6.675 6.675 4.284 71.29 71.29 32.46
Site moments in Bohr magnetons follow the coordinates.
Sites, in units of the cell vectors:
Ca1 0.998 0.998 0.002  -0.04
Ca2 0.754 0.754 0.746  -0.01
P1 0.172 0.172 0.328  0.00
Fe1 0.576 0.576 0.424  1.64



Entry 5:
Compound: Ca2FeP
Source: the Alexandria database
Functional: PBE
Structure: relaxed

Crystal system: tetragonal
Density of states at the Fermi level in states/eV/f.u.: 3.47
Calculated formation energy in meV/atom: -160
Electronic total energy in eV per formula unit: -18.52

Lattice parameters (Å, degrees): 3.215 3.215 8.252 90.00 90.00 90.00
Site moments in Bohr magnetons follow the coordinates.
Sites, in units of the cell vectors:
Ca1 0.000 0.000 0.920  -0.02
Ca2 0.500 0.500 0.322  -0.05
Fe1 0.000 0.000 0.582  1.21
P1 0.500 0.500 0.677  -0.04



Entry 6:
Compound: Ca2FeP
Source: the Alexandria database
Functional: PBE
Structure: relaxed

Crystal system: trigonal
Density of states at the Fermi level in states/eV/f.u.: 3.60
Calculated formation energy in meV/atom: 18
Electronic total energy in eV per formula unit: -17.80

Lattice parameters (Å, degrees): 7.741 7.741 7.741 31.32 31.32 31.32
Site moments in Bohr magnetons follow the coordinates.
Sites, in units of the cell vectors:
Ca1 0.518 0.518 0.518  -0.02
Ca2 0.982 0.982 0.982  -0.02
Fe1 0.750 0.750 0.750  3.10
P1 0.250 0.250 0.250  0.03



Entry 7:
Compound: CaFeP
Source: the Alexandria database
Functional: PBE
Structure: relaxed

Crystal system: cubic
Density of states at the Fermi level in states/eV/f.u.: 4.73
Calculated formation energy in meV/atom: -228
Electronic total energy in eV per formula unit: -16.56

Lattice parameters (Å, degrees): 4.394 4.394 4.394 60.00 60.00 60.00
Site moments in Bohr magnetons follow the coordinates.
Sites, in units of the cell vectors:
Ca1 0.000 0.000 0.000  -0.02
P1 0.750 0.750 0.750  0.05
Fe1 0.500 0.500 0.500  2.89



Entry 8:
Compound: CaFe2P2
Source: the Alexandria database
Functional: PBE
Structure: relaxed

Crystal system: tetragonal
Density of states at the Fermi level in states/eV/f.u.: 1.99
Calculated formation energy in meV/atom: -845
Electronic total energy in eV per formula unit: -33.97

Lattice parameters (Å, degrees): 3.829 3.829 5.645 70.17 70.17 90.00
Sites, in units of the cell vectors:
Fe1 0.750 0.250 0.500
Fe2 0.250 0.750 0.500
P1 0.640 0.640 0.719
P2 0.360 0.360 0.281
Ca1 0.000 0.000 0.000



Entry 9:
Compound: Ca3Fe4P4
Source: the Alexandria database
Functional: PBE
Structure: relaxed

Crystal system: cubic
Density of states at the Fermi level in states/eV/f.u.: 9.97
Calculated formation energy in meV/atom: -786
Electronic total energy in eV per formula unit: -70.14

Lattice parameters (Å, degrees): 6.061 6.061 6.061 109.47 109.47 109.47
Sites, in units of the cell vectors:
Fe1 0.735 0.735 0.735
Fe2 0.265 0.000 0.000
Fe3 0.000 0.000 0.265
Fe4 0.000 0.265 0.000
P1 0.000 0.000 0.629
P2 0.629 0.000 0.000
P3 0.000 0.629 0.000
P4 0.371 0.371 0.371
Ca1 0.000 0.500 0.500
Ca2 0.500 0.500 0.000
Ca3 0.500 0.000 0.500



Entry 10:
Compound: CaFeP
Source: the Alexandria database
Functional: PBE
Structure: relaxed

Crystal system: tetragonal
Density of states at the Fermi level in states/eV/f.u.: 3.05
Calculated formation energy in meV/atom: -783
Electronic total energy in eV per formula unit: -18.22

Lattice parameters (Å, degrees): 3.784 3.784 8.018 90.00 90.00 90.00
Sites, in units of the cell vectors:
P1 0.000 0.500 0.357
P2 0.500 0.000 0.643
Fe1 0.500 0.500 0.500
Fe2 0.000 0.000 0.500
Ca1 0.500 0.000 0.194
Ca2 0.000 0.500 0.806



Entry 11:
Compound: CaFeP3
Source: the Alexandria database
Functional: PBE
Structure: relaxed

Crystal system: cubic
Density of states at the Fermi level in states/eV/f.u.: 16.30
Calculated formation energy in meV/atom: 1858
Electronic total energy in eV per formula unit: -17.40

Lattice parameters (Å, degrees): 5.063 5.063 5.063 90.00 90.00 90.00
Site moments in Bohr magnetons follow the coordinates.
Sites, in units of the cell vectors:
Ca1 0.000 0.000 0.000  -0.01
P1 0.000 0.000 0.500  -0.03
P2 0.500 0.000 0.000  -0.04
P3 0.000 0.500 0.000  -0.04
Fe1 0.500 0.500 0.500  -0.10



Entry 12:
Compound: Ca2FeP
Source: the Alexandria database
Functional: PBE
Structure: relaxed

Crystal system: tetragonal
Density of states at the Fermi level in states/eV/f.u.: 3.61
Calculated formation energy in meV/atom: -3
Electronic total energy in eV per formula unit: -17.89

Lattice parameters (Å, degrees): 5.772 5.772 5.772 137.58 137.58 61.55
Site moments in Bohr magnetons follow the coordinates.
Sites, in units of the cell vectors:
P1 0.750 0.250 0.500  0.05
Ca1 0.250 0.750 0.500  -0.05
Ca2 0.000 0.000 0.000  -0.10
Fe1 0.500 0.500 0.000  2.77